Record 1
This record from Alexandria describes crystalline Pt3Cl at its relaxed geometry. The functional is PBE-GGA.

Output
volume: 17.10 A^3/atom
energy relative to the lowest polymorph listed for this composition: 0.0 meV per atom
space-group type: No. 47

```
Pt3Cl
1.0
2.833 0.000 0.000
0.000 3.481 0.000
0.000 0.000 6.935
Pt Cl
3 1
direct
0.000 0.000 0.000
0.500 0.500 0.227
0.500 0.500 0.773
0.500 0.000 0.500
```

Record 2
This record from Alexandria describes crystalline PtCl at its relaxed geometry. The functional is PBE-GGA.

Output
volume: 23.98 A^3/atom
space-group type: No. 129

```
PtCl
1.0
3.681 0.000 0.000
0.000 3.681 0.000
0.000 0.000 7.079
Pt Cl
2 2
direct
0.250 0.250 0.028
0.750 0.750 0.972
0.250 0.250 0.706
0.750 0.750 0.294
```

Record 3
This record from Alexandria describes crystalline PtCl at its relaxed geometry. The functional is PBE-GGA.

Output
volume: 36.27 A^3/atom
space-group type: No. 70

```
PtCl
1.0
0.000 7.470 7.478
2.598 0.000 7.478
2.598 7.470 0.000
Pt Cl
4 4
direct
0.125 0.625 0.125
0.375 0.875 0.375
0.625 0.125 0.625
0.875 0.375 0.875
0.001 0.001 0.249
0.249 0.249 0.001
0.751 0.751 0.999
0.999 0.999 0.751
```

no.,Fermi-level density of states (states/eV per atom),E_form (uncorrected) (meV per atom)
1,1.046,215
2,0.733,257
3,1.677,224